Computed, not measured: a relaxed structure of SrW2O at the PBE+U level of DFT.

a = 6.5797 Å, b = 6.5797 Å, c = 6.5786 Å
α = 59.99°, β = 59.99°, γ = 90.00°
Site moments in Bohr magnetons follow the coordinates.
Fractional coordinates of all 8 atoms:
W 0.3750 0.6250 0.2500  1.89
O 0.2500 0.7500 0.5000  -0.01
W 0.8750 0.6250 0.7500  1.94
Sr 0.0000 0.0000 0.0000  -0.05
O 0.5000 0.5000 0.0000  -0.01
Sr 0.7500 0.2500 0.5000  -0.05
W 0.3750 0.6250 0.7500  1.90
W 0.3750 0.1250 0.2500  1.86

Computed properties:
Magnetization   7.84 μB/cell
Energy   -4.884 eV per atom